Record 1
## MgZnRh6 (GGA-PBE)

Data for a relaxed structure of MgZnRh6.

Summary:
Space-group type: C2/m (12)
DFT formation energy, eV per atom: -0.21

abc: 3.8510 4.7203 7.2147
angles: 77.42 74.52 65.93
Fractional coordinates of all 8 atoms:
Zn 0.0000 0.5000 0.5000
Rh 0.5009 0.7447 0.2536
Rh 0.4991 0.2553 0.7464
Rh 0.7498 0.1241 0.3763
Rh 0.2494 0.3742 0.1269
Rh 0.2502 0.8759 0.6237
Rh 0.7506 0.6258 0.8731
Mg 0.0000 0.0000 0.0000

=====

Record 2
## Pm2Pr3Ho8 (GGA-PBE)

Data for a relaxed structure of Pm2Pr3Ho8.

Summary:
Space-group type: C2/m (12)
DFT formation energy, eV per atom: 0.25
Energy relative to the lowest polymorph listed for this composition, eV per atom: 0.233

abc: 5.6422 7.7139 10.9206
angles: 110.68 90.06 90.00
Fractional coordinates of all 13 atoms:
Ho 0.5004 0.8184 0.2175
Ho 0.9987 0.3324 0.6648
Ho 0.4996 0.1816 0.7825
Ho 0.4996 0.6010 0.7825
Ho 0.9994 0.1336 0.2671
Ho 0.0013 0.6676 0.3352
Ho 0.5004 0.3990 0.2175
Ho 0.0006 0.8664 0.7329
Pr 0.0000 0.2933 0.0000
Pr 0.5000 0.0000 0.0000
Pr 0.0000 0.7067 0.0000
Pm 0.4983 0.2415 0.4829
Pm 0.5017 0.7585 0.5171

=====

Record 3
## Ti2InO2 (GGA-PBE)

Data for a relaxed structure of Ti2InO2.

Summary:
Space-group type: I4/mmm (139)
Energy relative to the lowest polymorph listed for this composition, eV per atom: 0.000
Formation energy (no corrections), eV/f.u.: -8.2

abc: 3.8816 3.8816 5.9772
angles: 71.05 71.05 90.00
Fractional coordinates of all 5 atoms:
O 0.6946 0.6946 0.6107
O 0.3054 0.3054 0.3893
Ti 0.7500 0.2500 0.5000
Ti 0.2500 0.7500 0.5000
In 0.0000 0.0000 0.0000

=====

Record 4
## DyScAlAg (GGA-PBE)

Data for a relaxed structure of DyScAlAg.

Summary:
Space-group type: F-43m (216)
DFT formation energy, eV per atom: -0.34

abc: 5.0067 5.0067 5.0067
angles: 60.00 60.00 60.00
Fractional coordinates of all 4 atoms:
Sc 0.7500 0.7500 0.7500
Ag 0.5000 0.5000 0.5000
Al 0.0000 0.0000 0.0000
Dy 0.2500 0.2500 0.2500

=====

Record 5
## KBeP2 (GGA-PBE)

Data for a relaxed structure of KBeP2.

Summary:
Space-group type: P4/mmm (123)
DFT formation energy, eV per atom: 0.06

abc: 3.2777 3.2777 6.7015
angles: 90.00 90.00 90.00
Fractional coordinates of all 4 atoms:
K 0.5000 0.5000 0.7500
P 0.0000 0.0000 0.0929
P 0.0000 0.0000 0.4071
Be 0.5000 0.5000 0.2500

=====

Record 6
## BaNa2Sr (GGA-PBE)

Data for a relaxed structure of BaNa2Sr.

Summary:
Space-group type: R3m (160)
DFT formation energy, eV per atom: 0.08
Energy relative to the lowest polymorph listed for this composition, eV per atom: 0.069

abc: 4.2297 4.2297 13.2410
angles: 80.81 80.81 60.00
Fractional coordinates of all 4 atoms:
Na 0.2512 0.2512 0.2462
Na 0.0821 0.0821 0.7537
Sr 0.6662 0.6662 0.0013
Ba 0.5004 0.5004 0.4988

=====

Record 7
## Na2BeIn2 (GGA-PBE)

Data for a relaxed structure of Na2BeIn2.

Summary:
Space-group type: P4/mbm (127)
DFT formation energy, eV per atom: 0.18

abc: 6.7838 6.7838 5.3650
angles: 90.00 90.00 90.00
Fractional coordinates of all 10 atoms:
Na 0.1692 0.6692 0.5000
Na 0.6692 0.8308 0.5000
Na 0.8308 0.3308 0.5000
Na 0.3308 0.1692 0.5000
In 0.1584 0.3416 0.0000
In 0.8416 0.6584 0.0000
In 0.6584 0.1584 0.0000
In 0.3416 0.8416 0.0000
Be 0.0000 0.0000 0.0000
Be 0.5000 0.5000 0.0000

=====

Record 8
## La2HgHPb (GGA-PBE)

Data for a relaxed structure of La2HgHPb.

Summary:
Space-group type: P4/mmm (123)
Total DFT energy (no corrections), eV for the cell shown: -19.5

abc: 5.0873 5.0873 4.7189
angles: 90.00 90.00 90.00
Fractional coordinates of all 5 atoms:
Pb 0.5000 0.5000 0.5000
H 0.0000 0.0000 0.0000
La 0.0000 0.5000 0.0000
La 0.5000 0.0000 0.0000
Hg 0.0000 0.0000 0.5000

=====

Record 9
## Zr2Cd3 (GGA-PBE)

Data for a relaxed structure of Zr2Cd3.

Summary:
Space-group type: R-3m (166)
DFT formation energy, eV per atom: -0.01
Energy relative to the lowest polymorph listed for this composition, eV per atom: 0.088

abc: 13.4832 13.4832 13.4832
angles: 13.18 13.18 13.18
Fractional coordinates of all 5 atoms:
Zr 0.6000 0.6000 0.6000
Zr 0.4000 0.4000 0.4000
Cd 0.7995 0.7995 0.7995
Cd 0.0000 0.0000 0.0000
Cd 0.2005 0.2005 0.2005

=====

Record 10
## Be2Cu2Tc (GGA-PBE)

Data for a relaxed structure of Be2Cu2Tc.

Summary:
Space-group type: P4/mbm (127)
DFT formation energy, eV per atom: -0.02
Energy relative to the lowest polymorph listed for this composition, eV per atom: 0.000

abc: 6.5261 6.5261 2.5252
angles: 90.00 90.00 90.00
Fractional coordinates of all 10 atoms:
Be 0.3628 0.8628 0.0000
Be 0.6372 0.1372 0.0000
Be 0.1372 0.3628 0.0000
Be 0.8628 0.6372 0.0000
Cu 0.1573 0.6573 0.5000
Cu 0.6573 0.8427 0.5000
Cu 0.8427 0.3427 0.5000
Cu 0.3427 0.1573 0.5000
Tc 0.0000 0.0000 0.0000
Tc 0.5000 0.5000 0.0000

=====

- What is the formula in the ninth record?
  Zr2Cd3

=====

Please write out number 10 again, unchanged.
## Be2Cu2Tc (GGA-PBE)

Data for a relaxed structure of Be2Cu2Tc.

Summary:
Space-group type: P4/mbm (127)
DFT formation energy, eV per atom: -0.02
Energy relative to the lowest polymorph listed for this composition, eV per atom: 0.000

abc: 6.5261 6.5261 2.5252
angles: 90.00 90.00 90.00
Fractional coordinates of all 10 atoms:
Be 0.3628 0.8628 0.0000
Be 0.6372 0.1372 0.0000
Be 0.1372 0.3628 0.0000
Be 0.8628 0.6372 0.0000
Cu 0.1573 0.6573 0.5000
Cu 0.6573 0.8427 0.5000
Cu 0.8427 0.3427 0.5000
Cu 0.3427 0.1573 0.5000
Tc 0.0000 0.0000 0.0000
Tc 0.5000 0.5000 0.0000